# 1
Computed, not measured: an optimized crystal structure of LaPr2Tm at the PBE level of DFT.

Unit cell a=3.562 b=3.562 c=12.921 alpha=82.08 beta=82.08 gamma=60.00
Fractional coordinates of all 4 atoms:
Pr: 0.091 0.091 0.728
Pr: 0.909 0.909 0.272
Tm: 0.500 0.500 0.500
La: 0.000 0.000 0.000

Results
As for the symmetry: R-3m. For the total magnetization, the calculation gives 0.0 μB per cell. Its crystal system is trigonal. For the offset from the most stable computed form, the calculation gives 114 meV per atom.

# 2
Computed, not measured: an optimized crystal structure of La4Pr2Tm7 at the PBE level of DFT.

Unit cell a=6.123 b=6.123 c=13.553 alpha=90.00 beta=90.00 gamma=120.00
Fractional coordinates of all 13 atoms:
La: 0.000 0.000 0.610
La: 0.000 0.000 0.390
La: 0.667 0.333 0.500
La: 0.333 0.667 0.500
Pr: 0.667 0.333 0.000
Pr: 0.333 0.667 0.000
Tm: 0.000 0.650 0.790
Tm: 0.000 0.350 0.210
Tm: 0.000 0.000 0.000
Tm: 0.650 0.000 0.790
Tm: 0.350 0.000 0.210
Tm: 0.650 0.650 0.210
Tm: 0.350 0.350 0.790

Results
As for the symmetry: P-31m. For the total magnetization, the calculation gives 0.0 μB per cell. Its crystal system is trigonal. The total DFT energy (no corrections) comes out at -4.503 eV/atom.

# 3
Computed, not measured: an optimized crystal structure of LaPr4Tm3 at the PBE level of DFT.

Unit cell a=6.350 b=7.382 c=11.698 alpha=90.00 beta=90.00 gamma=90.00
Fractional coordinates of all 16 atoms:
La: 0.146 0.374 0.000
La: 0.646 0.626 0.500
Pr: 0.137 0.867 0.000
Pr: 0.656 0.131 0.000
Pr: 0.984 0.126 0.257
Pr: 0.484 0.874 0.243
Pr: 0.156 0.869 0.500
Pr: 0.637 0.133 0.500
Pr: 0.484 0.874 0.757
Pr: 0.984 0.126 0.743
Tm: 0.647 0.621 0.000
Tm: 0.981 0.619 0.251
Tm: 0.481 0.381 0.249
Tm: 0.147 0.379 0.500
Tm: 0.481 0.381 0.751
Tm: 0.981 0.619 0.749

Results
As for the symmetry: Pmn2_1. For the total magnetization, the calculation gives 0.0 μB per cell. Its crystal system is orthorhombic. For the offset from the most stable computed form, the calculation gives 0 meV per atom.

# 4
Computed, not measured: an optimized crystal structure of La4Pr5Tm3 at the PBE level of DFT.

Unit cell a=6.065 b=8.855 c=9.879 alpha=105.88 beta=72.12 gamma=69.97
Fractional coordinates of all 12 atoms:
La: 0.857 0.227 0.059
La: 0.157 0.062 0.623
La: 0.843 0.938 0.377
La: 0.143 0.773 0.941
Pr: 0.632 0.943 0.794
Pr: 0.500 0.500 0.500
Pr: 0.217 0.454 0.112
Pr: 0.783 0.546 0.888
Pr: 0.368 0.057 0.206
Tm: 0.518 0.692 0.273
Tm: 0.000 0.500 0.500
Tm: 0.482 0.308 0.727

Results
As for the symmetry: C2/m. For the total magnetization, the calculation gives 0.0 μB per cell. Its crystal system is monoclinic. The total DFT energy (no corrections) comes out at -4.557 eV/atom.

# 5
Computed, not measured: an optimized crystal structure of LaPr8Tm6 at the PBE level of DFT.

Unit cell a=5.989 b=9.927 c=9.927 alpha=120.00 beta=90.00 gamma=90.00
Fractional coordinates of all 15 atoms:
La: 0.500 0.000 0.000
Pr: 0.778 0.052 0.276
Pr: 0.778 0.724 0.776
Pr: 0.778 0.224 0.948
Pr: 0.222 0.948 0.724
Pr: 0.222 0.276 0.224
Pr: 0.222 0.776 0.052
Pr: 0.781 0.333 0.667
Pr: 0.219 0.667 0.333
Tm: 0.737 0.621 0.094
Tm: 0.737 0.906 0.526
Tm: 0.737 0.474 0.379
Tm: 0.263 0.379 0.906
Tm: 0.263 0.094 0.474
Tm: 0.263 0.526 0.621

Results
As for the symmetry: P-3. For the total magnetization, the calculation gives 0.0 μB per cell. Its crystal system is trigonal. The total DFT energy (no corrections) comes out at -4.515 eV/atom.

# 6
Computed, not measured: an optimized crystal structure of La6Pr3Tm2 at the PBE level of DFT.

Unit cell a=6.415 b=8.231 c=15.166 alpha=49.48 beta=60.46 gamma=97.30
Fractional coordinates of all 11 atoms:
La: 0.088 0.636 0.732
La: 0.724 0.084 0.822
La: 0.912 0.364 0.268
La: 0.276 0.916 0.178
La: 0.820 0.729 0.547
La: 0.180 0.271 0.453
Pr: 0.000 0.000 0.000
Pr: 0.546 0.824 0.362
Pr: 0.454 0.176 0.638
Tm: 0.640 0.457 0.088
Tm: 0.360 0.543 0.912

Results
As for the symmetry: P-1. For the total magnetization, the calculation gives 0.0 μB per cell. Its crystal system is triclinic. The total DFT energy (no corrections) comes out at -4.783 eV/atom.